DFT (PBE) results for a relaxed structure of CdBRh3.

Cell and atoms, written as POSCAR:
```
CdBRh3
1.0
4.146 0.000 0.000
0.000 4.146 0.000
0.000 0.000 4.146
B Rh Cd
1 3 1
direct
0.000 0.000 0.000
0.000 0.500 0.000
0.000 0.000 0.500
0.500 0.000 0.000
0.500 0.500 0.500
```

Calculated values
The space group is No. 221. For the offset from the most stable computed form, the calculation gives 6 meV per atom.



DFT (PBE) results for a relaxed structure of CuAs.

Cell and atoms, written as POSCAR:
```
CuAs
1.0
7.877 0.000 0.000
0.000 13.370 0.000
0.000 0.000 5.638
Cu As
16 16
direct
0.000 0.353 0.000
0.000 0.647 0.000
0.250 0.397 0.250
0.250 0.103 0.250
0.000 0.853 0.500
0.000 0.147 0.500
0.250 0.897 0.750
0.250 0.603 0.750
0.500 0.353 0.500
0.500 0.647 0.500
0.750 0.397 0.750
0.750 0.103 0.750
0.500 0.853 0.000
0.500 0.147 0.000
0.750 0.897 0.250
0.750 0.603 0.250
0.000 0.000 0.220
0.000 0.000 0.780
0.250 0.750 0.030
0.250 0.750 0.470
0.000 0.500 0.720
0.000 0.500 0.280
0.250 0.250 0.530
0.250 0.250 0.970
0.500 0.000 0.720
0.500 0.000 0.280
0.750 0.750 0.530
0.750 0.750 0.970
0.500 0.500 0.220
0.500 0.500 0.780
0.750 0.250 0.030
0.750 0.250 0.470
```

Calculated values
The total DFT energy (no corrections) comes out at -4.17 eV per atom. The space group is No. 70.



DFT (PBE) results for a relaxed structure of DyTe2.

Cell and atoms, written as POSCAR:
```
DyTe2
1.0
-0.976 0.425 -4.309
-2.779 -3.448 0.289
-6.657 5.537 2.053
Dy Te
2 4
direct
0.000 0.500 0.729
0.500 0.000 0.271
0.000 0.500 0.372
0.500 0.000 0.628
0.000 0.000 0.000
0.500 0.500 0.000
```

Calculated values
Its formation energy from raw total energies is -333 kJ/mol of formula units. The space group is No. 129.



DFT (PBE) results for a relaxed structure of Pb2Au3.

Cell and atoms, written as POSCAR:
```
Pb2Au3
1.0
8.748 0.000 0.000
-2.916 8.247 0.000
-2.916 -4.124 7.142
Pb Au
8 12
direct
0.922 0.422 0.422
0.000 0.000 0.078
0.578 0.500 0.000
0.500 0.078 0.500
0.422 0.922 0.922
0.000 0.000 0.578
0.500 0.578 0.500
0.078 0.500 0.000
0.511 0.250 0.261
0.989 0.750 0.239
0.750 0.261 0.011
0.250 0.239 0.489
0.761 0.011 0.250
0.739 0.489 0.750
0.250 0.511 0.761
0.750 0.989 0.739
0.261 0.750 0.511
0.239 0.250 0.989
0.011 0.761 0.750
0.489 0.739 0.250
```

Calculated values
The space group is No. 220. For the offset from the most stable computed form, the calculation gives 143 meV per atom.



DFT (PBE) results for a relaxed structure of MgFeOs.

Cell and atoms, written as POSCAR:
```
MgFeOs
1.0
-6.614 0.060 -2.773
0.007 -3.661 3.166
-1.122 2.202 1.314
Mg Os Fe
2 2 2
direct
0.749 0.561 0.827
0.955 0.109 0.498
0.408 0.577 0.505
0.297 0.093 0.819
0.585 0.056 0.157
0.119 0.613 0.168
```

Calculated values
The space group is No. 12. For the offset from the most stable computed form, the calculation gives 85 meV per atom.



DFT (PBE) results for a relaxed structure of NaCoS2N.

Cell and atoms, written as POSCAR:
```
NaCoS2N
1.0
4.846 0.000 0.000
0.000 4.846 0.000
0.000 0.000 3.376
Na S Co N
1 2 1 1
direct
0.500 0.500 0.500
0.000 0.500 0.000
0.500 0.000 0.000
0.000 0.000 0.000
0.000 0.000 0.500
```

Calculated values
Its formation energy from raw total energies is 68 kJ/mol of formula units. The space group is No. 123. For the offset from the most stable computed form, the calculation gives 0 meV per atom.



DFT (PBE) results for a relaxed structure of CaLaMn2.

Cell and atoms, written as POSCAR:
```
CaLaMn2
1.0
-1.257 -7.776 2.815
-0.546 -8.296 -0.923
2.366 -7.873 1.545
Ca Mn La
1 2 1
direct
0.534 0.534 0.534
0.954 0.954 0.954
0.297 0.297 0.297
0.715 0.715 0.715
```

Calculated values
The total DFT energy (no corrections) comes out at -6.11 eV per atom. The space group is No. 160.



DFT (PBE) results for a relaxed structure of BaZn2Sb.

Cell and atoms, written as POSCAR:
```
BaZn2Sb
1.0
3.651 0.000 0.000
0.000 3.965 0.000
0.000 0.000 7.446
Ba Sb Zn
1 1 2
direct
0.000 0.000 0.490
0.500 0.500 0.812
0.000 0.000 0.016
0.500 0.500 0.182
```

Calculated values
Its formation energy from raw total energies is -70 kJ/mol of formula units. The space group is No. 25.



DFT (PBE) results for a relaxed structure of Pm8Er2Cd.

Cell and atoms, written as POSCAR:
```
Pm8Er2Cd
1.0
5.061 0.000 0.000
0.000 8.000 0.471
-2.531 -2.946 8.616
Pm Er Cd
8 2 1
direct
0.409 0.555 0.818
0.681 0.910 0.362
0.864 0.819 0.727
0.954 0.276 0.909
0.136 0.181 0.273
0.319 0.090 0.638
0.591 0.445 0.182
0.046 0.724 0.091
0.775 0.366 0.550
0.225 0.634 0.450
0.500 0.000 0.000
```

Calculated values
The space group is No. 12. For the offset from the most stable computed form, the calculation gives 0 meV per atom.



DFT (PBE) results for a relaxed structure of Li2LaNd2Ga2.

Cell and atoms, written as POSCAR:
```
Li2LaNd2Ga2
1.0
-2.375 4.111 -0.332
-4.268 0.455 2.056
1.716 4.402 8.095
Li La Nd Ga
2 1 2 2
direct
0.600 0.600 0.200
0.400 0.400 0.800
0.000 0.000 0.000
0.127 0.127 0.618
0.873 0.873 0.382
0.740 0.740 0.779
0.260 0.260 0.221
```

Calculated values
The total DFT energy (no corrections) comes out at -3.78 eV per atom. The space group is No. 166.